Material: Na3ReH
Method: DFT, meta-GGA SCAN
State: single point on PBEsol structure

It has space group Pm-3m (No. 221), with a = 5.813 Å, b = 5.813 Å, c = 5.813 Å, α = 90.00°, β = 90.00° and γ = 90.00°. The inequivalent atoms are Na at (0.000, 0.000, 0.500), Re at (0.000, 0.000, 0.000) and H at (0.500, 0.500, 0.500).

As for the total energy: -15.76 eV/atom.

Material: FeRu2Cl
Method: DFT, meta-GGA SCAN
State: single point on PBEsol structure

It has space group R-3m (No. 166, hexagonal axes), with a = 2.7704 Å, b = 2.7704 Å, c = 23.8314 Å, α = 90.00°, β = 90.00° and γ = 120.00°. The inequivalent atoms are Fe at (0.0000, 0.0000, 0.0000), Ru at (0.0000, 0.0000, 0.2517) and Cl at (0.0000, 0.0000, 0.5000).

As for the total energy: -23.53 eV/atom. The formation energy without anion corrections is 408.6 meV/atom.

Material: Li2TiNi2O6
Method: DFT, meta-GGA SCAN
State: single point on PBEsol structure

It has space group C2/m (No. 12), with a = 12.777 Å, b = 8.611 Å, c = 5.802 Å, α = 90.00°, β = 104.27° and γ = 90.00°. The inequivalent atoms are Li at (0.000, 0.178, 0.000), Li at (0.176, 0.332, 0.334), Ti at (0.000, 0.169, 0.500), Ti at (0.000, 0.500, 0.500), Ni at (0.164, 0.000, 0.841), Ni at (0.168, 0.337, 0.834), O at (0.008, 0.333, 0.278), O at (0.011, 0.000, 0.739), O at (0.159, 0.176, 0.606), O at (0.160, 0.500, 0.608), O at (0.167, 0.181, 0.050) and O at (0.188, 0.500, 0.064).

As for the total energy: -10.29 eV/atom. The formation energy without anion corrections is -2056.4 meV/atom.

Material: NiBi2H
Method: DFT, meta-GGA SCAN
State: single point on PBEsol structure

It has space group Fm-3m (No. 225), with a = 6.516 Å, b = 6.516 Å, c = 6.516 Å, α = 90.00°, β = 90.00° and γ = 90.00°. The inequivalent atoms are Ni at (0.000, 0.000, 0.000), Bi at (0.250, 0.250, 0.250) and H at (0.000, 0.000, 0.500).

As for the total energy: -43.71 eV/atom.

Material: La2TlCl
Method: DFT, meta-GGA SCAN
State: single point on PBEsol structure

It has space group P4/mmm (No. 123), with a = 4.379 Å, b = 4.379 Å, c = 6.192 Å, α = 90.00°, β = 90.00° and γ = 90.00°. The inequivalent atoms are La at (0.000, 0.000, 0.000), La at (0.500, 0.500, 0.500), Tl at (0.000, 0.000, 0.500) and Cl at (0.500, 0.500, 0.000).

As for the total energy: -42.88 eV/atom. The formation energy without anion corrections is -1245.2 meV/atom.

Material: Cr2NiIr
Method: DFT, meta-GGA SCAN
State: single point on PBEsol structure

It has space group Cmmm (No. 65), with a = 5.023 Å, b = 7.322 Å, c = 2.574 Å, α = 90.00°, β = 90.00° and γ = 90.00°. The inequivalent atoms are Cr at (0.250, 0.250, 0.000), Ni at (0.000, 0.000, 0.500) and Ir at (0.000, 0.500, 0.500).

As for the total energy: -31.10 eV/atom. The energy of formation from the pure elements is -0.092 eV per atom.

Material: Na6Co2AsC4O16
Method: DFT, meta-GGA SCAN
State: single point on PBEsol structure

It has space group Fd-3 (No. 203, origin choice 2), with a = 13.887 Å, b = 13.887 Å, c = 13.887 Å, α = 90.00°, β = 90.00° and γ = 90.00°. The inequivalent atoms are Na at (0.086, 0.375, 0.375), Co at (0.000, 0.000, 0.500), As at (0.125, 0.125, 0.125), C at (0.036, 0.036, 0.714), O at (0.022, 0.107, 0.773) and O at (0.054, 0.054, 0.054).

As for the total energy: -9.23 eV/atom. The formation energy without anion corrections is -1635.0 meV/atom.

Material: Zr2RhSe
Method: DFT, meta-GGA SCAN
State: single point on PBEsol structure

It has space group I-4m2 (No. 119), with a = 3.813 Å, b = 3.813 Å, c = 9.748 Å, α = 90.00°, β = 90.00° and γ = 90.00°. The inequivalent atoms are Zr at (0.000, 0.000, 0.000), Zr at (0.000, 0.500, 0.250), Rh at (0.000, 0.000, 0.500) and Se at (0.000, 0.500, 0.750).

As for the total energy: -29.55 eV/atom. The formation energy without anion corrections is -740.6 meV/atom.